Record 1
An optimized crystal structure of LaCu3. Source: Alexandria via LeMat-Bulk, functional GGA-PBE.

* formation enthalpy at 0 K: 0.0382 eV/atom
* size of the total moment: 0.00 μB per atom
* total DFT energy (no corrections): -4.27 eV per atom
* crystal system: tetragonal

abc: 3.735 3.735 5.524
angles: 90.00 90.00 90.00
Space group P4mm (No. 99)
Asymmetric unit:
La 0.000 0.000 0.000
Cu 0.000 0.500 0.544
Cu 0.500 0.500 0.260

Record 2
An optimized crystal structure of La5Cu2. Source: Alexandria via LeMat-Bulk, functional GGA-PBE.

* formation enthalpy at 0 K: -0.0713 eV/atom
* size of the total moment: 0.00 μB per atom
* total DFT energy (no corrections): -4.76 eV per atom
* crystal system: monoclinic

abc: 17.682 6.784 7.228
angles: 90.00 96.28 90.00
Space group C2/c (No. 15)
Asymmetric unit:
La 0.000 0.072 0.250
La 0.093 0.393 0.940
La 0.219 0.075 0.304
Cu 0.109 0.190 0.574